Sm2AlCrS6: relaxed, PBE-GGA.

The structure belongs to space group P2_1/c (No. 14); the cell edges are 6.3151, 6.8726 and 11.0362 Å and the angles 90.00°, 124.29° and 90.00°. Symmetry generates all atoms from Sm at (0.2128, 0.1008, 0.2505), Al at (0.5000, 0.0000, 0.0000), Cr at (0.0000, 0.0000, 0.5000), S at (0.1280, 0.1879, 0.9473), S at (0.2638, 0.6885, 0.9470) and S at (0.3662, 0.0211, 0.7503).

As for the total energy: -6.209 eV per atom. The value obtained for the uncorrected formation energy is -33.5 kcal/mol of atoms.



SmPaSb2Rh5: relaxed, PBE-GGA.

The structure belongs to space group P4/mmm (No. 123); the cell edges are 4.0130, 4.0130 and 12.3422 Å and the angles 90.00°, 90.00° and 90.00°. Symmetry generates all atoms from Sm at (0.0000, 0.0000, 0.0000), Pa at (0.5000, 0.5000, 0.5000), Sb at (0.5000, 0.5000, 0.2085), Rh at (0.0000, 0.5000, 0.3507) and Rh at (0.5000, 0.5000, 0.0000).

As for the total energy: -7.038 eV per atom. The value obtained for the uncorrected formation energy is -10.6 kcal/mol of atoms.



SmEr5Rh6: relaxed, PBE-GGA.

The structure belongs to space group P2/m (No. 10); the cell edges are 4.7997, 6.8867 and 7.5992 Å and the angles 90.00°, 108.31° and 90.00°. Symmetry generates all atoms from Sm at (0.0000, 0.0000, 0.0000), Er at (0.0000, 0.5000, 0.0000), Er at (0.3321, 0.0000, 0.6643), Er at (0.3331, 0.5000, 0.6661), Rh at (0.1682, 0.2524, 0.3366) and Rh at (0.5000, 0.2557, 0.0000).

As for the total energy: -6.867 eV per atom. The value obtained for the formation energy is -20.67 kcal/mol of atoms.